# 1
Below is a geometry-optimized Nd4SmEr3 structure, with properties calculated at the PBE level.

Calculated values
Energy of formation from the pure elements = 0.0283 eV per atom
E = -74.5 eV per cell

Structure (CIF):
```
data_Nd4SmEr3
_cell_length_a 11.597
_cell_length_b 7.332
_cell_length_c 6.317
_cell_angle_alpha 90.00
_cell_angle_beta 90.00
_cell_angle_gamma 90.00
_symmetry_space_group_name_H-M 'P m n 21'
_symmetry_Int_Tables_number 31
loop_
_symmetry_equiv_pos_as_xyz
'x,y,z'
'-x+1/2,-y,z+1/2'
'-x,y,z'
'x+1/2,-y,z+1/2'
loop_
_atom_site_label
_atom_site_type_symbol
_atom_site_fract_x
_atom_site_fract_y
_atom_site_fract_z
Nd1 Nd 0.000 0.129 0.000
Nd2 Nd 0.000 0.870 0.510
Nd3 Nd 0.246 0.127 0.340
Sm1 Sm 0.000 0.624 0.008
Er1 Er 0.000 0.380 0.506
Er2 Er 0.250 0.379 0.839
```

# 2
Below is a geometry-optimized Dy2B2Ru structure, with properties calculated at the PBE level.

Calculated values
Energy of formation from the pure elements = -0.3807 eV per atom
E = -135.0 eV per cell

Structure (CIF):
```
data_Dy2B2Ru
_cell_length_a 9.093
_cell_length_b 5.124
_cell_length_c 7.281
_cell_angle_alpha 90.00
_cell_angle_beta 101.52
_cell_angle_gamma 90.00
_symmetry_space_group_name_H-M 'C 1 2/c 1'
_symmetry_Int_Tables_number 15
loop_
_symmetry_equiv_pos_as_xyz
'x,y,z'
'-x,-y,-z'
'-x,y,-z+1/2'
'x,-y,z+1/2'
'x+1/2,y+1/2,z'
'-x+1/2,-y+1/2,-z'
'-x+1/2,y+1/2,-z+1/2'
'x+1/2,-y+1/2,z+1/2'
loop_
_atom_site_label
_atom_site_type_symbol
_atom_site_fract_x
_atom_site_fract_y
_atom_site_fract_z
Dy1 Dy 0.158 0.089 0.150
B1 B 0.087 0.417 0.498
Ru1 Ru 0.000 0.378 0.750
```

# 3
Below is a geometry-optimized Na7SbO6 structure, with properties calculated at the PBE level.

Calculated values
Energy relative to the elements, uncorrected = -1.43 eV/atom
E = -189.2 eV per cell

Structure (CIF):
```
data_Na7SbO6
_cell_length_a 6.5093
_cell_length_b 6.5093
_cell_length_c 15.5267
_cell_angle_alpha 90.00
_cell_angle_beta 90.00
_cell_angle_gamma 120.00
_symmetry_space_group_name_H-M 'R 3'
_symmetry_Int_Tables_number 146
_symmetry_space_group_name_Hall 'R 3'
loop_
_atom_site_label
_atom_site_type_symbol
_atom_site_fract_x
_atom_site_fract_y
_atom_site_fract_z
Na1 Na 0.0000 0.0000 0.0000
Na2 Na 0.0663 0.3398 0.8811
Na3 Na 0.0813 0.6856 0.0906
Sb1 Sb 0.0000 0.0000 0.6521
O1 O 0.0380 0.2861 0.7266
O2 O 0.0724 0.6682 0.2445
```

# 4
Below is a geometry-optimized Tb3Te3Se structure, with properties calculated at the PBE level.

Calculated values
Energy relative to the elements, uncorrected = -1.32 eV/atom
E = -144.2 eV per cell

Structure (CIF):
```
data_Tb3Te3Se
_cell_length_a 8.874
_cell_length_b 12.557
_cell_length_c 7.938
_cell_angle_alpha 90.00
_cell_angle_beta 90.83
_cell_angle_gamma 90.00
_symmetry_space_group_name_H-M 'C 1 2/m 1'
_symmetry_Int_Tables_number 12
loop_
_symmetry_equiv_pos_as_xyz
'x,y,z'
'-x,-y,-z'
'-x,y,-z'
'x,-y,z'
'x+1/2,y+1/2,z'
'-x+1/2,-y+1/2,-z'
'-x+1/2,y+1/2,-z'
'x+1/2,-y+1/2,z'
loop_
_atom_site_label
_atom_site_type_symbol
_atom_site_fract_x
_atom_site_fract_y
_atom_site_fract_z
Tb1 Tb 0.054 0.000 0.298
Tb2 Tb 0.148 0.349 0.192
Te1 Te 0.000 0.160 0.000
Te2 Te 0.000 0.233 0.500
Te3 Te 0.138 0.500 0.861
Se1 Se 0.249 0.000 0.586
```

# 5
Below is a geometry-optimized Y2ScCdB structure, with properties calculated at the PBE level.

Calculated values
Energy of formation from the pure elements = -0.1628 eV per atom
E = -27.7 eV per cell

Structure (CIF):
```
data_Y2ScCdB
_cell_length_a 5.112
_cell_length_b 5.112
_cell_length_c 4.660
_cell_angle_alpha 90.00
_cell_angle_beta 90.00
_cell_angle_gamma 90.00
_symmetry_space_group_name_H-M 'P 4/m m m'
_symmetry_Int_Tables_number 123
_symmetry_space_group_name_Hall '-P 4 2'
loop_
_atom_site_label
_atom_site_type_symbol
_atom_site_fract_x
_atom_site_fract_y
_atom_site_fract_z
Y1 Y 0.000 0.500 0.000
Sc1 Sc 0.000 0.000 0.500
Cd1 Cd 0.500 0.500 0.500
B1 B 0.000 0.000 0.000
```

# 6
Below is a geometry-optimized Ta3Bi4O14 structure, with properties calculated at the PBE level.

Calculated values
Energy relative to the elements, uncorrected = -2.02 eV/atom
E = -651.9 eV per cell

Structure (CIF):
```
data_Ta3Bi4O14
_cell_length_a 13.271
_cell_length_b 7.670
_cell_length_c 12.131
_cell_angle_alpha 90.00
_cell_angle_beta 101.59
_cell_angle_gamma 90.00
_symmetry_space_group_name_H-M 'C 1 2/c 1'
_symmetry_Int_Tables_number 15
loop_
_symmetry_equiv_pos_as_xyz
'x,y,z'
'-x,-y,-z'
'-x,y,-z+1/2'
'x,-y,z+1/2'
'x+1/2,y+1/2,z'
'-x+1/2,-y+1/2,-z'
'-x+1/2,y+1/2,-z+1/2'
'x+1/2,-y+1/2,z+1/2'
loop_
_atom_site_label
_atom_site_type_symbol
_atom_site_fract_x
_atom_site_fract_y
_atom_site_fract_z
Ta1 Ta 0.000 0.148 0.250
Ta2 Ta 0.247 0.117 0.741
Bi1 Bi 0.114 0.137 0.970
Bi2 Bi 0.119 0.394 0.510
O1 O 0.005 0.129 0.416
O2 O 0.024 0.389 0.922
O3 O 0.110 0.048 0.773
O4 O 0.111 0.318 0.278
O5 O 0.206 0.364 0.716
O6 O 0.208 0.346 0.086
O7 O 0.210 0.067 0.583
```

# 7
Below is a geometry-optimized Tb3Pm5Ru2 structure, with properties calculated at the PBE level.

Calculated values
Energy of formation from the pure elements = 0.0293 eV per atom
E = -223.6 eV per cell

Structure (CIF):
```
data_Tb3Pm5Ru2
_cell_length_a 12.494
_cell_length_b 14.192
_cell_length_c 6.839
_cell_angle_alpha 90.00
_cell_angle_beta 90.00
_cell_angle_gamma 90.00
_symmetry_space_group_name_H-M 'I b a m'
_symmetry_Int_Tables_number 72
_symmetry_space_group_name_Hall '-I 2 2c'
loop_
_atom_site_label
_atom_site_type_symbol
_atom_site_fract_x
_atom_site_fract_y
_atom_site_fract_z
Tb1 Tb 0.000 0.000 0.250
Tb2 Tb 0.245 0.186 0.000
Pm1 Pm 0.000 0.270 0.250
Pm2 Pm 0.000 0.500 0.250
Pm3 Pm 0.215 0.440 0.000
Ru1 Ru 0.110 0.154 0.500
```

M_tot: 0.0 0.0 0.0 0.0 0.6 0.0 0.0 (μB per cell)